Record 1
Here is a relaxed Zn3Ga3Ir2Pd crystal from Alexandria via LeMat-Bulk. Energies are from GGA-PBE.

a b c (Å): 7.2540 7.2540 2.9749
angles (deg): 90.00 90.00 120.00
Closest atoms and distances in Å follow each position.
Space group P-62m (No. 189)
Symmetry-distinct sites (fractional):
Zn (0.0000, 0.7127, 0.0000) [3 per cell]  2 Pd 2.56, 2 Ir 2.60, 2 Ga 2.83
Ga (0.0000, 0.3806, 0.5000) [3 per cell]  4 Ir 2.71, 1 Pd 2.76, 6 Zn 2.83-2.90, 2 Ga 2.97
Ir (0.3333, 0.6667, 0.0000) [2 per cell]  3 Zn 2.60, 6 Ga 2.71
Pd (0.0000, 0.0000, 0.5000) [1 per cell]  6 Zn 2.56, 3 Ga 2.76

Its magnetization is 0.00 Bohr magnetons per cell. As for the formation enthalpy at 0 K: -0.282 eV per atom. The value obtained for the total energy is -0.157 hartree per atom.


Record 2
Here is a relaxed Rb2SN6 crystal from Alexandria via LeMat-Bulk. Energies are from GGA-PBE.

a b c (Å): 6.4312 11.0700 8.4036
angles (deg): 90.00 90.00 90.00
Closest atoms and distances in Å follow each position.
Space group Cmmm (No. 65)
Symmetry-distinct sites (fractional):
Rb (0.0000, 0.1674, 0.0000) [4 per cell]  3 S 3.68-3.71, 3 Rb 3.70-3.71
S (0.0000, 0.5000, 0.0000) [2 per cell]  6 Rb 3.68-3.71
N (0.0867, 0.0000, 0.5000) [4 per cell]  1 N 1.12
N (0.2061, 0.2935, 0.5000) [8 per cell]  1 N 1.12

For the uncorrected formation energy, the calculation gives -8.8 kJ per mole of atoms. Its magnetization is 0.14 Bohr magnetons per cell. The value obtained for the total energy is -0.232 hartree per atom.


Record 3
Here is a relaxed Pr4GdY crystal from Alexandria via LeMat-Bulk. Energies are from GGA-PBE.

a b c (Å): 9.5514 9.5514 9.5514
angles (deg): 90.00 90.00 90.00
Closest atoms and distances in Å follow each position.
Space group F-43m (No. 216)
Symmetry-distinct sites (fractional):
Pr (0.1244, 0.1244, 0.1244) [16 per cell]  6 Pr 3.36-3.39
Gd (0.0000, 0.0000, 0.5000) [4 per cell]  12 Pr 3.96, 4 Y 4.14
Y (0.2500, 0.2500, 0.7500) [4 per cell]  12 Pr 3.96, 4 Gd 4.14

Its magnetization is 30.57 Bohr magnetons per cell. As for the formation enthalpy at 0 K: 0.236 eV per atom. The value obtained for the total energy is -0.234 hartree per atom.


Record 4
Here is a relaxed MgMnTe2I crystal from Alexandria via LeMat-Bulk. Energies are from GGA-PBE.

a b c (Å): 4.9840 4.9840 5.7448
angles (deg): 90.00 90.00 90.00
Closest atoms and distances in Å follow each position.
Space group P4/mmm (No. 123)
Symmetry-distinct sites (fractional):
Mg (0.0000, 0.0000, 0.0000) [1 per cell]  4 I 3.52, 8 Te 3.80
Mn (0.5000, 0.5000, 0.5000) [1 per cell]  4 Te 2.49
Te (0.0000, 0.5000, 0.5000) [2 per cell]  2 Mn 2.49
I (0.5000, 0.5000, 0.0000) [1 per cell]  2 Mn 2.87

The distance to the lowest polymorph of the same formula is 0.0 meV/atom. For the uncorrected formation energy, the calculation gives 29.1 kJ per mole of atoms. Its magnetization is 0.00 Bohr magnetons per cell. The value obtained for the total energy is -0.126 hartree per atom.


Record 5
Here is a relaxed Tb3DySc2Te6 crystal from Alexandria via LeMat-Bulk. Energies are from GGA-PBE.

a b c (Å): 18.7697 4.2896 8.6376
angles (deg): 90.00 103.47 90.00
Closest atoms and distances in Å follow each position.
Space group C2/m (No. 12)
Symmetry-distinct sites (fractional):
Tb (0.0000, 0.0000, 0.0000) [2 per cell]  6 Te 3.05-3.12
Tb (0.1616, 0.5000, 0.3294) [4 per cell]  6 Te 3.06-3.11
Dy (0.0000, 0.0000, 0.5000) [2 per cell]  6 Te 3.04-3.08
Sc (0.1657, 0.5000, 0.8315) [4 per cell]  6 Te 2.92-2.98
Te (0.0059, 0.5000, 0.7519) [4 per cell]  1 Sc 2.92, 2 Dy 3.04, 3 Tb 3.05-3.06
Te (0.1689, 0.0000, 0.5936) [4 per cell]  2 Sc 2.98, 1 Dy 3.08, 3 Tb 3.10-3.11
Te (0.1709, 0.0000, 0.0739) [4 per cell]  3 Sc 2.98, 3 Tb 3.11-3.12

For the uncorrected formation energy, the calculation gives -118.7 kJ per mole of atoms. Its magnetization is 0.00 Bohr magnetons per cell. The value obtained for the total energy is -0.198 hartree per atom.


Record 6
Here is a relaxed GdGeSb2 crystal from Alexandria via LeMat-Bulk. Energies are from GGA-PBE.

a b c (Å): 3.7433 3.7433 29.5056
angles (deg): 90.00 90.00 120.00
Closest atoms and distances in Å follow each position.
Space group R-3m (No. 166, hexagonal axes)
Symmetry-distinct sites (fractional):
Gd (0.0000, 0.0000, 0.0000) [3 per cell]  2 Sb 3.08
Ge (0.0000, 0.0000, 0.5000) [3 per cell]  6 Sb 2.84
Sb (0.0000, 0.0000, 0.1043) [6 per cell]  3 Ge 2.84, 1 Gd 3.08

The distance to the lowest polymorph of the same formula is 590.4 meV/atom. For the uncorrected formation energy, the calculation gives 15.9 kJ per mole of atoms. Its magnetization is 22.20 Bohr magnetons per cell. The value obtained for the total energy is -0.241 hartree per atom.


Record 7
Here is a relaxed Ti3TeAs crystal from Alexandria via LeMat-Bulk. Energies are from GGA-PBE.

a b c (Å): 4.7805 4.7805 4.7805
angles (deg): 90.00 90.00 90.00
Closest atoms and distances in Å follow each position.
Space group Pm-3m (No. 221)
Symmetry-distinct sites (fractional):
Ti (0.0000, 0.0000, 0.5000) [3 per cell]  2 As 2.39
Te (0.5000, 0.5000, 0.5000) [1 per cell]  12 Ti 3.38
As (0.0000, 0.0000, 0.0000) [1 per cell]  6 Ti 2.39

The distance to the lowest polymorph of the same formula is 0.0 meV/atom. For the uncorrected formation energy, the calculation gives 4.1 kJ per mole of atoms. Its magnetization is 3.32 Bohr magnetons per cell. The value obtained for the total energy is -0.230 hartree per atom.


Record 8
Here is a relaxed CsOF2 crystal from Alexandria via LeMat-Bulk. Energies are from GGA-PBE.

a b c (Å): 5.0694 5.0694 12.0466
angles (deg): 90.00 90.00 90.00
Closest atoms and distances in Å follow each position.
Space group I-42d (No. 122)
Symmetry-distinct sites (fractional):
Cs (0.0000, 0.0000, 0.0000) [4 per cell]  8 F 3.20-3.22
O (0.0000, 0.0000, 0.5000) [4 per cell]  4 F 1.97
F (0.0033, 0.7500, 0.6250) [8 per cell]  2 O 1.97

The distance to the lowest polymorph of the same formula is 235.9 meV/atom. For the uncorrected formation energy, the calculation gives -75.7 kJ per mole of atoms. Its magnetization is 0.00 Bohr magnetons per cell. The value obtained for the total energy is -0.117 hartree per atom.


Record 9
Here is a relaxed Pm5NdSe6 crystal from Alexandria via LeMat-Bulk. Energies are from GGA-PBE.

a b c (Å): 7.2758 12.6391 7.2674
angles (deg): 90.00 109.64 90.00
Closest atoms and distances in Å follow each position.
Space group C2/m (No. 12)
Symmetry-distinct sites (fractional):
Pm (0.0000, 0.0000, 0.0000) [2 per cell]  6 Se 2.96-2.97
Pm (0.0000, 0.1665, 0.5000) [4 per cell]  6 Se 2.96-2.97
Pm (0.0000, 0.3346, 0.0000) [4 per cell]  6 Se 2.96-2.97
Nd (0.0000, 0.5000, 0.5000) [2 per cell]  6 Se 2.98-2.99
Se (0.2482, 0.0000, 0.7503) [4 per cell]  5 Pm 2.96, 1 Nd 2.98
Se (0.2486, 0.1677, 0.2487) [8 per cell]  5 Pm 2.97, 1 Nd 2.99

For the uncorrected formation energy, the calculation gives -177.3 kJ per mole of atoms. Its magnetization is 0.00 Bohr magnetons per cell. The value obtained for the total energy is -0.219 hartree per atom.


Record 10
Here is a relaxed SmCuSn2 crystal from Alexandria via LeMat-Bulk. Energies are from GGA-PBE.

a b c (Å): 3.4362 3.4362 30.6247
angles (deg): 90.00 90.00 120.00
Closest atoms and distances in Å follow each position.
Space group R-3m (No. 166, hexagonal axes)
Symmetry-distinct sites (fractional):
Sm (0.0000, 0.0000, 0.0000) [3 per cell]  2 Sn 3.19, 6 Sm 3.44
Cu (0.0000, 0.0000, 0.5000) [3 per cell]  6 Sn 2.76
Sn (0.0000, 0.0000, 0.1040) [6 per cell]  3 Cu 2.76

Its magnetization is 0.00 Bohr magnetons per cell. As for the formation enthalpy at 0 K: 0.117 eV per atom. The value obtained for the total energy is -0.150 hartree per atom.